First-principles (SCAN) data for a crystal of TaCrRu2 relaxed with PBEsol, as listed in Alexandria via LeMat-Bulk.

Output
Electronic total energy   -154.73 eV for the cell shown
E_form   -27 meV/atom

a b c (Å): 2.795 4.539 4.754
angles (deg): 101.21 107.09 90.00
Site moments in Bohr magnetons follow the coordinates.
Fractional positions:
Cr (0.262, 0.779, 0.525)  2.43
Ru (0.998, 0.990, 0.995)  -0.21
Ru (0.740, 0.236, 0.480)  -0.23
Ta (0.500, 0.495, 0.999)  -0.09

First-principles (SCAN) data for a crystal of CrTcRu relaxed with PBEsol, as listed in Alexandria via LeMat-Bulk.

Output
Electronic total energy   -87.53 eV for the cell shown
E_form   247 meV/atom

a b c (Å): 2.600 2.600 6.395
angles (deg): 97.45 97.45 111.25
Fractional positions:
Cr (0.000, 0.000, 0.001)
Ru (0.340, 0.340, 0.680)
Tc (0.660, 0.660, 0.319)

First-principles (SCAN) data for a crystal of Cr4TcRu relaxed with PBEsol, as listed in Alexandria via LeMat-Bulk.

Output
Electronic total energy   -143.13 eV for the cell shown
E_form   49 meV/atom

a b c (Å): 4.670 4.670 4.670
angles (deg): 60.00 60.00 60.00
Fractional positions:
Cr (0.374, 0.374, 0.374)
Cr (0.374, 0.374, 0.877)
Cr (0.877, 0.374, 0.374)
Cr (0.374, 0.877, 0.374)
Ru (0.750, 0.750, 0.750)
Tc (0.000, 0.000, 0.000)

First-principles (SCAN) data for a crystal of CrTcRu2 relaxed with PBEsol, as listed in Alexandria via LeMat-Bulk.

Output
Electronic total energy   -122.66 eV for the cell shown
E_form   108 meV/atom

a b c (Å): 2.655 4.567 4.567
angles (deg): 109.25 90.00 90.00
Fractional positions:
Cr (0.500, 0.500, 0.500)
Ru (0.000, 0.500, 0.000)
Ru (0.000, 0.000, 0.500)
Tc (0.500, 0.000, 0.000)

First-principles (SCAN) data for a crystal of Cr4TeRu relaxed with PBEsol, as listed in Alexandria via LeMat-Bulk.

Output
Electronic total energy   -143.08 eV for the cell shown
Formation energy (no corrections)   0.422 eV per atom

a b c (Å): 4.783 4.783 4.783
angles (deg): 60.00 60.00 60.00
Fractional positions:
Cr (0.374, 0.374, 0.374)
Cr (0.374, 0.374, 0.879)
Cr (0.879, 0.374, 0.374)
Cr (0.374, 0.879, 0.374)
Ru (0.750, 0.750, 0.750)
Te (0.000, 0.000, 0.000)

First-principles (SCAN) data for a crystal of TlCrRu relaxed with PBEsol, as listed in Alexandria via LeMat-Bulk.

Output
Electronic total energy   -122.71 eV for the cell shown
E_form   951 meV/atom

a b c (Å): 4.362 4.362 4.362
angles (deg): 60.00 60.00 60.00
Site moments in Bohr magnetons follow the coordinates.
Fractional positions:
Cr (0.000, 0.000, 0.000)  3.73
Ru (0.500, 0.500, 0.500)  0.07
Tl (0.750, 0.750, 0.750)  -0.02